Record 1
The following is a DFT calculation (PBE) of a geometry-optimized Ca3LaDy2Te6 structure.

a = 7.6818 Å, b = 7.6818 Å, c = 7.8193 Å
α = 99.46°, β = 99.46°, γ = 119.95°
Closest atoms and distances in Å follow each position.
Positions (direct):
Ca: 0.0000 0.0000 0.0000  6 Te 3.10-3.19
Ca: 0.3374 0.6626 0.0000  6 Te 3.13-3.19
Ca: 0.6626 0.3374 0.0000  6 Te 3.13-3.19
La: 0.5000 0.5000 0.5000  6 Te 3.22
Dy: 0.1676 0.8324 0.5000  6 Te 3.12-3.13
Dy: 0.8324 0.1676 0.5000  6 Te 3.12-3.13
Te: 0.0727 0.4163 0.2495  2 Dy 3.12-3.13, 3 Ca 3.13-3.19, 1 La 3.22
Te: 0.2387 0.2387 0.7477  3 Ca 3.10-3.16, 2 Dy 3.12, 1 La 3.22
Te: 0.4163 0.0727 0.2495  2 Dy 3.12-3.13, 3 Ca 3.13-3.19, 1 La 3.22
Te: 0.5837 0.9273 0.7505  2 Dy 3.12-3.13, 3 Ca 3.13-3.19, 1 La 3.22
Te: 0.7613 0.7613 0.2523  3 Ca 3.10-3.16, 2 Dy 3.12, 1 La 3.22
Te: 0.9273 0.5837 0.7505  2 Dy 3.12-3.13, 3 Ca 3.13-3.19, 1 La 3.22

The raw total energy is -4.742 eV/atom. The uncorrected formation energy comes out at -1.493 eV/atom. The density of states at the Fermi level is 5.34 states/eV per cell. For the total magnetic moment, the calculation gives 0.00 μB/cell. As for the symmetry: C2/m (12).



Record 2
The following is a DFT calculation (PBE) of a geometry-optimized CaLa4Dy3Te8 structure.

a = 9.0077 Å, b = 9.0077 Å, c = 9.0077 Å
α = 59.42°, β = 59.42°, γ = 59.42°
Closest atoms and distances in Å follow each position.
Positions (direct):
Ca: 0.0000 0.0000 0.0000  6 Te 3.11
La: 0.0000 0.0000 0.5000  6 Te 3.24-3.25
La: 0.0000 0.5000 0.0000  6 Te 3.24-3.25
La: 0.5000 0.0000 0.0000  6 Te 3.24-3.25
La: 0.5000 0.5000 0.5000  6 Te 3.23
Dy: 0.0000 0.5000 0.5000  6 Te 3.10
Dy: 0.5000 0.0000 0.5000  6 Te 3.10
Dy: 0.5000 0.5000 0.0000  6 Te 3.10
Te: 0.2455 0.2455 0.7430  2 Dy 3.10, 1 Ca 3.11, 3 La 3.23-3.25
Te: 0.2455 0.7430 0.2455  2 Dy 3.10, 1 Ca 3.11, 3 La 3.23-3.25
Te: 0.2556 0.2556 0.2556  3 Dy 3.10, 3 La 3.24
Te: 0.2570 0.7545 0.7545  2 Dy 3.10, 1 Ca 3.11, 3 La 3.23-3.25
Te: 0.7430 0.2455 0.2455  2 Dy 3.10, 1 Ca 3.11, 3 La 3.23-3.25
Te: 0.7444 0.7444 0.7444  3 Dy 3.10, 3 La 3.24
Te: 0.7545 0.2570 0.7545  2 Dy 3.10, 1 Ca 3.11, 3 La 3.23-3.25
Te: 0.7545 0.7545 0.2570  2 Dy 3.10, 1 Ca 3.11, 3 La 3.23-3.25

The raw total energy is -5.266 eV/atom. The uncorrected formation energy comes out at -1.475 eV/atom. The density of states at the Fermi level is 10.11 states/eV per cell. For the total magnetic moment, the calculation gives 0.00 μB/cell. As for the symmetry: R-3m (166).



What is the raw total energy in the first record? -4.742 eV/atom



Copy entry 2 word for word.
The following is a DFT calculation (PBE) of a geometry-optimized CaLa4Dy3Te8 structure.

a = 9.0077 Å, b = 9.0077 Å, c = 9.0077 Å
α = 59.42°, β = 59.42°, γ = 59.42°
Closest atoms and distances in Å follow each position.
Positions (direct):
Ca: 0.0000 0.0000 0.0000  6 Te 3.11
La: 0.0000 0.0000 0.5000  6 Te 3.24-3.25
La: 0.0000 0.5000 0.0000  6 Te 3.24-3.25
La: 0.5000 0.0000 0.0000  6 Te 3.24-3.25
La: 0.5000 0.5000 0.5000  6 Te 3.23
Dy: 0.0000 0.5000 0.5000  6 Te 3.10
Dy: 0.5000 0.0000 0.5000  6 Te 3.10
Dy: 0.5000 0.5000 0.0000  6 Te 3.10
Te: 0.2455 0.2455 0.7430  2 Dy 3.10, 1 Ca 3.11, 3 La 3.23-3.25
Te: 0.2455 0.7430 0.2455  2 Dy 3.10, 1 Ca 3.11, 3 La 3.23-3.25
Te: 0.2556 0.2556 0.2556  3 Dy 3.10, 3 La 3.24
Te: 0.2570 0.7545 0.7545  2 Dy 3.10, 1 Ca 3.11, 3 La 3.23-3.25
Te: 0.7430 0.2455 0.2455  2 Dy 3.10, 1 Ca 3.11, 3 La 3.23-3.25
Te: 0.7444 0.7444 0.7444  3 Dy 3.10, 3 La 3.24
Te: 0.7545 0.2570 0.7545  2 Dy 3.10, 1 Ca 3.11, 3 La 3.23-3.25
Te: 0.7545 0.7545 0.2570  2 Dy 3.10, 1 Ca 3.11, 3 La 3.23-3.25

The raw total energy is -5.266 eV/atom. The uncorrected formation energy comes out at -1.475 eV/atom. The density of states at the Fermi level is 10.11 states/eV per cell. For the total magnetic moment, the calculation gives 0.00 μB/cell. As for the symmetry: R-3m (166).



Look up the raw total energy of the first one. -4.742 eV/atom